1.
# La3CeCoAu2

A relaxed structure of La3CeCoAu2 (PBE, the Alexandria database).

Lattice parameters (Å, degrees): 4.7926 5.2393 8.7362 107.45 105.92 90.00
Element x y z (fractional)
Au: 0.3691 0.3691 0.7383
Au: 0.6309 0.6309 0.2617
La: 0.0000 0.5000 0.0000
La: 0.1836 0.1836 0.3672
La: 0.8164 0.8164 0.6328
Co: 0.0000 0.0000 0.0000
Ce: 0.5000 0.0000 0.0000

Properties
DOS at the Fermi energy: 1.48 states/eV per atom
energy: -0.393 Ry per atom
ΔH_f (0 K): -3.05 eV/f.u.

2.
# Ce2NdCoAu

A relaxed structure of Ce2NdCoAu (PBE, the Alexandria database).

Lattice parameters (Å, degrees): 4.9057 4.9056 5.7438 90.00 90.00 90.00
Site moments in Bohr magnetons follow the coordinates.
Element x y z (fractional)
Au: 0.5000 0.5000 0.5895  0.01
Ce: 0.5000 0.0000 0.9685  0.36
Ce: 0.0000 0.5000 0.9684  0.36
Nd: 0.0000 0.0000 0.4855  0.03
Co: 0.0000 0.0000 0.9881  -0.05

Properties
DOS at the Fermi energy: 2.12 states/eV per atom
energy: -0.411 Ry per atom
ΔH_f (0 K): -0.92 eV/f.u.

3.
# Ce2PmCoAu

A relaxed structure of Ce2PmCoAu (PBE, the Alexandria database).

Lattice parameters (Å, degrees): 4.9010 4.9016 5.6868 90.00 90.00 90.00
Site moments in Bohr magnetons follow the coordinates.
Element x y z (fractional)
Ce: 0.5000 0.0000 0.9707  0.35
Ce: 0.0000 0.5000 0.9706  0.35
Au: 0.5000 0.5000 0.5841  0.01
Co: 0.0000 0.0000 0.9885  -0.05
Pm: 0.0000 0.0000 0.4862  0.03

Properties
DOS at the Fermi energy: 2.07 states/eV per atom
energy: -0.411 Ry per atom
ΔH_f (0 K): -0.95 eV/f.u.

4.
# Ce2PrCoAu

A relaxed structure of Ce2PrCoAu (PBE, the Alexandria database).

Lattice parameters (Å, degrees): 4.9099 4.9088 5.8098 90.00 90.00 90.00
Site moments in Bohr magnetons follow the coordinates.
Element x y z (fractional)
Ce: 0.0000 0.5000 0.9659  0.37
Ce: 0.5000 0.0000 0.9669  0.37
Pr: 0.0000 0.0000 0.4843  0.03
Co: 0.0000 0.0000 0.9872  -0.06
Au: 0.5000 0.5000 0.5957  0.01

Properties
DOS at the Fermi energy: 2.14 states/eV per atom
energy: -0.410 Ry per atom
ΔH_f (0 K): -0.89 eV/f.u.